No. 1
Material: AcHPd2Pb2
Method: DFT, PBE
State: optimized geometry

```
data_AcHPd2Pb2
_chemical_formula_sum 'Ac2 H2 Pd4 Pb4'
_cell_length_a 4.518
_cell_length_b 4.518
_cell_length_c 13.583
_cell_angle_alpha 90.00
_cell_angle_beta 90.00
_cell_angle_gamma 90.00
_space_group_name_H-M_alt 'I 4/m m m'
_space_group_IT_number 139
_space_group_name_Hall '-I 4 2'
loop_
_atom_site_label
_atom_site_type_symbol
_atom_site_fract_x
_atom_site_fract_y
_atom_site_fract_z
Ac1 Ac 0.000 0.000 0.000
H1 H 0.000 0.000 0.500
Pd1 Pd 0.000 0.000 0.379
Pb1 Pb 0.000 0.500 0.250
```

Output
Uncorrected energy   -4.613 eV per atom
Crystal system   tetragonal
Magnetic moment   0.000 μB per cell

---

No. 2
Material: Sc2BiAu
Method: DFT, PBE
State: optimized geometry

```
data_Sc2BiAu
_chemical_formula_sum 'Sc2 Bi1 Au1'
_cell_length_a 3.657
_cell_length_b 3.657
_cell_length_c 6.761
_cell_angle_alpha 90.00
_cell_angle_beta 90.00
_cell_angle_gamma 90.00
_space_group_name_H-M_alt 'P 4/m m m'
_space_group_IT_number 123
_space_group_name_Hall '-P 4 2'
loop_
_atom_site_label
_atom_site_type_symbol
_atom_site_fract_x
_atom_site_fract_y
_atom_site_fract_z
Sc1 Sc 0.000 0.000 0.232
Bi1 Bi 0.500 0.500 0.500
Au1 Au 0.500 0.500 0.000
```

Output
Crystal system   tetragonal
ΔE_f   -2.283 eV per formula unit
Magnetic moment   0.640 μB per cell

---

No. 3
Material: CaBe2Cu
Method: DFT, PBE
State: optimized geometry

```
data_CaBe2Cu
_chemical_formula_sum 'Ca1 Be2 Cu1'
_cell_length_a 2.902
_cell_length_b 3.051
_cell_length_c 6.617
_cell_angle_alpha 90.00
_cell_angle_beta 90.00
_cell_angle_gamma 90.00
_space_group_name_H-M_alt 'P m m m'
_space_group_IT_number 47
loop_
_space_group_symop_operation_xyz
'x,y,z'
'-x,-y,-z'
'-x,-y,z'
'x,y,-z'
'x,-y,-z'
'-x,y,z'
'-x,y,-z'
'x,-y,z'
loop_
_atom_site_label
_atom_site_type_symbol
_atom_site_fract_x
_atom_site_fract_y
_atom_site_fract_z
Ca1 Ca 0.000 0.000 0.000
Be1 Be 0.500 0.500 0.333
Cu1 Cu 0.000 0.000 0.500
```

Output
Crystal system   orthorhombic
ΔE_f   0.931 eV per formula unit
Energy above the most stable polymorph in this dataset   0.256 eV per atom
Magnetic moment   0.000 μB per cell

---

No. 4
Material: Li2LaCl
Method: DFT, PBE
State: optimized geometry

```
data_Li2LaCl
_chemical_formula_sum 'Li4 La2 Cl2'
_cell_length_a 5.631
_cell_length_b 11.704
_cell_length_c 3.514
_cell_angle_alpha 90.00
_cell_angle_beta 90.00
_cell_angle_gamma 90.00
_space_group_name_H-M_alt 'C m m m'
_space_group_IT_number 65
_space_group_name_Hall '-C 2 2'
loop_
_atom_site_label
_atom_site_type_symbol
_atom_site_fract_x
_atom_site_fract_y
_atom_site_fract_z
Li1 Li 0.250 0.250 0.000
La1 La 0.000 0.000 0.500
Cl1 Cl 0.000 0.500 0.500
```

Output
Crystal system   orthorhombic
Energy above the most stable polymorph in this dataset   0.242 eV per atom
Magnetic moment   0.739 μB per cell
Formation energy without anion corrections   -46 kJ/mol of atoms

---

No. 5
Material: Na4Sm3PaS8
Method: DFT, PBE
State: optimized geometry

```
data_Na4Sm3PaS8
_chemical_formula_sum 'Na12 Sm9 Pa3 S24'
_cell_length_a 8.0937
_cell_length_b 8.0937
_cell_length_c 20.1494
_cell_angle_alpha 90.00
_cell_angle_beta 90.00
_cell_angle_gamma 120.00
_space_group_name_H-M_alt 'R -3 m'
_space_group_IT_number 166
_space_group_name_Hall '-R 3 2"'
loop_
_atom_site_label
_atom_site_type_symbol
_atom_site_fract_x
_atom_site_fract_y
_atom_site_fract_z
Na1 Na 0.0000 0.0000 0.0000
Na2 Na 0.0000 0.5000 0.0000
Sm1 Sm 0.0000 0.5000 0.5000
Pa1 Pa 0.0000 0.0000 0.5000
S1 S 0.0000 0.0000 0.2447
S2 S 0.0068 0.5034 0.2440
```

Output
Crystal system   trigonal
Magnetic moment   5.410 μB per cell
Formation energy without anion corrections   -165 kJ/mol of atoms

---

No. 6
Material: CsCaIrS2
Method: DFT, PBE
State: optimized geometry

```
data_CsCaIrS2
_chemical_formula_sum 'Cs1 Ca1 Ir1 S2'
_cell_length_a 5.026
_cell_length_b 5.026
_cell_length_c 5.116
_cell_angle_alpha 90.00
_cell_angle_beta 90.00
_cell_angle_gamma 90.00
_space_group_name_H-M_alt 'P 4/m m m'
_space_group_IT_number 123
_space_group_name_Hall '-P 4 2'
loop_
_atom_site_label
_atom_site_type_symbol
_atom_site_fract_x
_atom_site_fract_y
_atom_site_fract_z
Cs1 Cs 0.000 0.000 0.000
Ca1 Ca 0.500 0.500 0.000
Ir1 Ir 0.500 0.500 0.500
S1 S 0.000 0.500 0.500
```

Output
Crystal system   tetragonal
Magnetic moment   0.008 μB per cell
Formation energy without anion corrections   -28 kJ/mol of atoms

---

- Which formula does entry 6 have?
  CsCaIrS2